Mn2NiAs | PBE | optimized geometry

Cell: 4.0994 4.0994 4.0994 Å, 60.00 60.00 60.00°
Site moments in Bohr magnetons follow the coordinates.
Atoms (fractional coordinates):
As1 0.5000 0.5000 0.5000  0.04
Mn1 0.0000 0.0000 0.0000  3.02
Mn2 0.2500 0.2500 0.2500  0.74
Ni1 0.7500 0.7500 0.7500  0.56

## Properties
E_tot	-7.19	eV/atom

---

SrCrTe | PBE | optimized geometry

Cell: 5.3847 5.3847 5.3847 Å, 60.00 60.00 60.00°
Site moments in Bohr magnetons follow the coordinates.
Atoms (fractional coordinates):
Cr1 0.5000 0.5000 0.5000  4.40
Sr1 0.7500 0.7500 0.7500  0.12
Te1 0.0000 0.0000 0.0000  0.05

## Properties
E_tot	-4.69	eV/atom
uncorrected formation energy	0.121	eV per atom
offset from the most stable computed form	487	meV/atom

---

TcW3Cl | PBE | optimized geometry

Cell: 4.7793 4.7793 4.7793 Å, 90.00 90.00 90.00°
Atoms (fractional coordinates):
Tc1 0.0000 0.0000 0.0000
W1 0.0000 0.5000 0.0000
W2 0.0000 0.0000 0.5000
W3 0.5000 0.0000 0.0000
Cl1 0.5000 0.5000 0.5000

## Properties
E_tot	-7.98	eV/atom
uncorrected formation energy	2.232	eV per atom
offset from the most stable computed form	637	meV/atom

---

Number 1: total magnetic moment 1.12 μB per atom. Number 2: total magnetic moment 1.93 μB per atom. Number 3: total magnetic moment 0.00 μB per atom.